(1)
## Y3MgRh2 (GGA-PBE)

Data for an optimized crystal structure of Y3MgRh2.

Values from the calculation:
For the density, the calculation gives 5.4 Mg/m³. The energy is -6.5174 eV/atom. For the density of states at the Fermi level, the calculation gives 3.2 states/eV/f.u. For the spin magnetization, the calculation gives 0.0 μB per cell. The formation energy is -569 meV per atom.

Geometry as POSCAR:
```
Y3MgRh2
1.0
-3.192 2.564 5.122
-6.183 -2.046 -2.829
5.142 -5.991 2.006
Y Mg Rh
6 2 4
Direct
0.500 0.250 0.000 Y
0.500 0.750 0.000 Y
0.780 0.030 0.561 Y
0.220 0.470 0.439 Y
0.780 0.530 0.561 Y
0.220 0.970 0.439 Y
0.000 0.000 0.000 Mg
0.000 0.500 0.000 Mg
0.433 0.638 0.276 Rh
0.157 0.862 0.724 Rh
0.843 0.138 0.276 Rh
0.567 0.362 0.724 Rh
```

***

(2)
## YMg4Rh (GGA-PBE)

Data for an optimized crystal structure of YMg4Rh.

Values from the calculation:
For the density, the calculation gives 3.8 Mg/m³. The energy is -3.4106 eV/atom. For the density of states at the Fermi level, the calculation gives 0.5 states/eV/f.u. The calculation puts the energy above the most stable polymorph in this dataset at 264.5 meV/atom. For the spin magnetization, the calculation gives 0.0 μB per cell. The formation energy is -45 meV per atom.

Geometry as POSCAR:
```
YMg4Rh
1.0
0.000 3.970 3.970
3.970 0.000 3.970
3.970 3.970 0.000
Rh Mg Y
1 4 1
Direct
0.750 0.750 0.750 Rh
0.376 0.872 0.376 Mg
0.376 0.376 0.872 Mg
0.872 0.376 0.376 Mg
0.376 0.376 0.376 Mg
0.000 0.000 0.000 Y
```

***

(3)
## Y2MgRh3 (GGA-PBE)

Data for an optimized crystal structure of Y2MgRh3.

Values from the calculation:
For the density, the calculation gives 7.6 Mg/m³. The energy is -6.8456 eV/atom. For the density of states at the Fermi level, the calculation gives 1.7 states/eV/f.u. For the spin magnetization, the calculation gives 0.0 μB per cell. The formation energy is -749 meV per atom.

Geometry as POSCAR:
```
Y2MgRh3
1.0
-3.501 2.203 2.278
-0.375 -0.873 -4.626
-4.920 -10.223 2.327
Rh Y Mg
6 4 2
Direct
0.333 0.667 0.913 Rh
0.000 0.000 0.746 Rh
0.333 0.667 0.421 Rh
0.667 0.333 0.579 Rh
0.667 0.333 0.087 Rh
0.000 0.000 0.254 Rh
0.000 0.000 0.000 Y
0.000 0.000 0.500 Y
0.667 0.333 0.820 Y
0.333 0.667 0.180 Y
0.667 0.333 0.337 Mg
0.333 0.667 0.663 Mg
```

***

(4)
## Y6MgRh2 (GGA-PBE)

Data for an optimized crystal structure of Y6MgRh2.

Values from the calculation:
For the density, the calculation gives 5.3 Mg/m³. The energy is -6.5835 eV/atom. For the density of states at the Fermi level, the calculation gives 9.6 states/eV/f.u. For the spin magnetization, the calculation gives 0.0 μB per cell. The formation energy is -463 meV per atom.

Geometry as POSCAR:
```
Y6MgRh2
1.0
8.042 0.273 -2.895
-4.475 7.004 -2.015
-0.268 -0.273 8.543
Y Mg Rh
12 2 4
Direct
0.199 0.238 0.437 Y
0.308 0.984 0.675 Y
0.801 0.238 0.038 Y
0.692 0.016 0.325 Y
0.308 0.633 0.325 Y
0.801 0.762 0.563 Y
0.104 0.286 0.818 Y
0.199 0.762 0.962 Y
0.532 0.714 0.818 Y
0.896 0.714 0.182 Y
0.692 0.367 0.675 Y
0.468 0.286 0.182 Y
0.000 0.500 0.500 Mg
0.000 0.000 0.000 Mg
0.328 0.000 0.328 Rh
0.672 0.000 0.672 Rh
0.500 0.370 0.870 Rh
0.500 0.630 0.130 Rh
```

***

(5)
## Y2MgRh (GGA-PBE)

Data for an optimized crystal structure of Y2MgRh.

Values from the calculation:
For the density, the calculation gives 5.2 Mg/m³. The energy is -5.8597 eV/atom. For the density of states at the Fermi level, the calculation gives 2.6 states/eV/f.u. For the spin magnetization, the calculation gives 0.0 μB per cell. The formation energy is -391 meV per atom.

Geometry as POSCAR:
```
Y2MgRh
1.0
-3.401 3.506 -4.093
-5.137 0.562 -3.728
-3.761 2.488 2.187
Rh Y Mg
1 2 1
Direct
0.753 0.753 0.747 Rh
0.252 0.252 0.248 Y
0.050 0.050 0.950 Y
0.445 0.445 0.554 Mg
```

***

(6)
## YMg4Rh2 (GGA-PBE)

Data for an optimized crystal structure of YMg4Rh2.

Values from the calculation:
For the density, the calculation gives 4.7 Mg/m³. The energy is -4.3406 eV/atom. For the density of states at the Fermi level, the calculation gives 3.2 states/eV/f.u. For the spin magnetization, the calculation gives 0.0 μB per cell. The formation energy is -406 meV per atom.

Geometry as POSCAR:
```
YMg4Rh2
1.0
-0.399 -4.254 1.094
1.304 -2.067 -7.562
7.806 -0.360 1.445
Mg Rh Y
8 4 2
Direct
0.500 0.835 0.413 Mg
0.000 0.335 0.087 Mg
0.000 0.913 0.665 Mg
0.000 0.087 0.335 Mg
0.500 0.165 0.587 Mg
0.500 0.413 0.835 Mg
0.000 0.665 0.913 Mg
0.500 0.587 0.165 Mg
0.000 0.764 0.236 Rh
0.500 0.264 0.264 Rh
0.500 0.736 0.736 Rh
0.000 0.236 0.764 Rh
0.500 0.000 0.000 Y
0.000 0.500 0.500 Y
```

***

(7)
## YMg4Rh5 (GGA-PBE)

Data for an optimized crystal structure of YMg4Rh5.

Values from the calculation:
For the density, the calculation gives 7.2 Mg/m³. The energy is -5.4983 eV/atom. For the density of states at the Fermi level, the calculation gives 7.6 states/eV/f.u. For the spin magnetization, the calculation gives 0.0 μB per cell. The formation energy is -538 meV per atom.

Geometry as POSCAR:
```
YMg4Rh5
1.0
3.217 0.000 0.000
0.000 3.217 0.000
0.000 0.000 15.678
Rh Mg Y
5 4 1
Direct
0.500 0.500 0.693 Rh
0.500 0.500 0.307 Rh
0.500 0.500 0.887 Rh
0.500 0.500 0.113 Rh
0.500 0.500 0.500 Rh
0.000 0.000 0.596 Mg
0.000 0.000 0.404 Mg
0.000 0.000 0.787 Mg
0.000 0.000 0.213 Mg
0.000 0.000 0.000 Y
```

***

(8)
## Y2Mg2Rh (GGA-PBE)

Data for an optimized crystal structure of Y2Mg2Rh.

Values from the calculation:
For the density, the calculation gives 4.4 Mg/m³. The energy is -4.7492 eV/atom. For the density of states at the Fermi level, the calculation gives 4.0 states/eV/f.u. The calculation puts the energy above the most stable polymorph in this dataset at 42.7 meV/atom. For the spin magnetization, the calculation gives 0.0 μB per cell. The formation energy is -55 meV per atom.

Geometry as POSCAR:
```
Y2Mg2Rh
1.0
-1.412 -3.212 1.182
1.594 -1.748 -2.848
7.569 -3.905 4.226
Mg Rh Y
2 1 2
Direct
0.750 0.250 0.500 Mg
0.250 0.750 0.500 Mg
0.000 0.000 0.000 Rh
0.413 0.413 0.175 Y
0.587 0.587 0.825 Y
```

***

(9)
## YbMgRh2 (GGA-PBE)

Data for an optimized crystal structure of YbMgRh2.

Values from the calculation:
For the density, the calculation gives 10.1 Mg/m³. The energy is -5.0060 eV/atom. For the density of states at the Fermi level, the calculation gives 1.7 states/eV/f.u. For the spin magnetization, the calculation gives 0.0 μB per cell. The formation energy is -550 meV per atom.

Geometry as POSCAR:
```
YbMgRh2
1.0
4.541 0.000 0.000
2.270 3.932 0.000
2.270 1.311 3.707
Rh Yb Mg
2 1 1
Direct
0.500 0.500 0.500 Rh
0.000 0.000 0.000 Rh
0.750 0.750 0.750 Yb
0.250 0.250 0.250 Mg
```

***

(10)
## MgZn5Rh4 (GGA-PBE)

Data for an optimized crystal structure of MgZn5Rh4.

Values from the calculation:
For the density, the calculation gives 9.0 Mg/m³. The energy is -4.1481 eV/atom. For the density of states at the Fermi level, the calculation gives 1.8 states/eV/f.u. For the spin magnetization, the calculation gives 0.0 μB per cell. The formation energy is -411 meV per atom.

Geometry as POSCAR:
```
MgZn5Rh4
1.0
4.050 0.000 -1.388
-0.487 5.062 -1.422
0.098 -0.050 6.885
Mg Zn Rh
1 5 4
Direct
0.500 0.000 0.000 Mg
0.705 0.810 0.410 Zn
0.295 0.190 0.590 Zn
0.105 0.374 0.210 Zn
0.895 0.626 0.790 Zn
0.500 0.500 0.000 Zn
0.904 0.136 0.808 Rh
0.096 0.864 0.192 Rh
0.297 0.695 0.594 Rh
0.703 0.305 0.406 Rh
```

***

(11)
## MgZn3Rh4 (GGA-PBE)

Data for an optimized crystal structure of MgZn3Rh4.

Values from the calculation:
For the density, the calculation gives 9.3 Mg/m³. The energy is -4.7604 eV/atom. For the density of states at the Fermi level, the calculation gives 6.3 states/eV/f.u. For the spin magnetization, the calculation gives 0.0 μB per cell. The formation energy is -408 meV per atom.

Geometry as POSCAR:
```
MgZn3Rh4
1.0
-2.852 3.229 0.107
-2.830 0.269 3.239
2.657 5.064 4.769
Rh Zn Mg
4 3 1
Direct
0.623 0.623 0.131 Rh
0.377 0.377 0.869 Rh
0.127 0.127 0.618 Rh
0.873 0.873 0.382 Rh
0.251 0.251 0.246 Zn
0.500 0.500 0.500 Zn
0.749 0.749 0.754 Zn
0.000 0.000 0.000 Mg
```

***

(12)
## Mg2Zn3Rh2 (GGA-PBE)

Data for an optimized crystal structure of Mg2Zn3Rh2.

Values from the calculation:
For the density, the calculation gives 7.0 Mg/m³. The energy is -3.4750 eV/atom. For the density of states at the Fermi level, the calculation gives 2.3 states/eV/f.u. For the spin magnetization, the calculation gives 0.0 μB per cell. The formation energy is -373 meV per atom.

Geometry as POSCAR:
```
Mg2Zn3Rh2
1.0
-2.849 -0.935 1.088
-0.090 -0.327 -5.192
2.518 -6.187 1.278
Zn Mg Rh
3 2 2
Direct
0.290 0.579 0.865 Zn
0.000 0.000 0.000 Zn
0.710 0.421 0.135 Zn
0.126 0.252 0.429 Mg
0.874 0.748 0.571 Mg
0.585 0.170 0.741 Rh
0.415 0.830 0.259 Rh
```